# 1
! NdY2ThSe4, optimized geometry, DFT GGA-PBE; values from VASP
&SYSTEM
  ibrav = 0, nat = 8, ntyp = 4
/
ATOMIC_SPECIES
Nd 144.24 Nd.upf
Y 88.91 Y.upf
Th 232.04 Th.upf
Se 78.96 Se.upf
ATOMIC_POSITIONS angstrom
Nd 2.050 3.648 -0.103
Y 0.000 2.507 6.695
Y 2.050 1.254 3.348
Th 0.000 4.901 3.245
Se 0.000 7.436 4.831
Se 4.101 2.367 1.658
Se 2.050 6.184 1.487
Se 2.050 3.618 5.002
CELL_PARAMETERS angstrom
4.101 0.000 0.000
0.000 7.295 -0.206
0.000 2.507 6.695
! D(E_F) in states/eV per cell: 4.250
! DFT total energy in eV per atom: -6.60

# 2
! Na3CdB, optimized geometry, DFT GGA-PBE; values from VASP
&SYSTEM
  ibrav = 0, nat = 5, ntyp = 3
/
ATOMIC_SPECIES
Na 22.99 Na.upf
B 10.81 B.upf
Cd 112.41 Cd.upf
ATOMIC_POSITIONS angstrom
Na 0.000 2.591 0.000
Na 0.000 0.000 2.591
Na 2.591 0.000 0.000
B 0.000 0.000 0.000
Cd 2.591 2.591 2.591
CELL_PARAMETERS angstrom
5.182 0.000 0.000
0.000 5.182 0.000
0.000 0.000 5.182
! Formation energy in eV per atom: 0.680
! ΔE to the lowest computed polymorph in meV/atom: 0
! D(E_F) in states/eV per cell: 3.774
! DFT total energy in eV per atom: -1.63

# 3
! CdHgC2O6, optimized geometry, DFT GGA-PBE; values from VASP
&SYSTEM
  ibrav = 0, nat = 20, ntyp = 4
/
ATOMIC_SPECIES
Cd 112.41 Cd.upf
Hg 200.59 Hg.upf
C 12.01 C.upf
O 16.00 O.upf
ATOMIC_POSITIONS angstrom
Cd -1.833 -3.088 -1.955
Cd -4.896 -2.514 0.242
Hg -1.938 -4.402 2.754
Hg -4.791 -1.199 -4.468
C -4.692 0.126 -1.614
C -4.992 -3.809 -2.719
C -2.036 -5.728 -0.100
C -1.736 -1.792 1.005
O -1.985 -4.671 -3.664
O -1.628 -0.851 -2.590
O -4.744 -0.930 1.950
O -5.101 -4.750 0.876
O -0.887 -0.924 0.575
O -2.857 -6.238 -0.952
O -5.842 -4.677 -2.289
O -3.872 0.636 -0.762
O -2.563 -2.364 0.189
O -1.184 -4.826 -0.467
O -4.166 -3.237 -1.903
O -5.545 -0.776 -1.247
CELL_PARAMETERS angstrom
-0.236 -2.569 -5.944
-0.453 -5.271 3.741
-6.040 2.238 0.489
! DFT total energy in eV per atom: -6.05

# 4
! LiErGe2Pd2, optimized geometry, DFT GGA-PBE; values from VASP
&SYSTEM
  ibrav = 0, nat = 6, ntyp = 4
/
ATOMIC_SPECIES
Li 6.94 Li.upf
Er 167.26 Er.upf
Ge 72.64 Ge.upf
Pd 106.42 Pd.upf
ATOMIC_POSITIONS angstrom
Li 3.025 1.031 -0.628
Er 0.000 0.000 0.000
Ge 2.368 -0.366 1.842
Ge 4.382 2.934 1.109
Pd 4.790 0.459 1.339
Pd 1.961 2.109 1.611
CELL_PARAMETERS angstrom
-0.887 3.753 1.887
1.587 -3.246 2.318
6.050 2.062 -1.255
! Formation energy in eV per atom: -0.754
! D(E_F) in states/eV per cell: 1.755
! DFT total energy in eV per atom: -5.10

# 5
! ErTm3Au2, optimized geometry, DFT GGA-PBE; values from VASP
&SYSTEM
  ibrav = 0, nat = 12, ntyp = 3
/
ATOMIC_SPECIES
Er 167.26 Er.upf
Tm 168.93 Tm.upf
Au 196.97 Au.upf
ATOMIC_POSITIONS angstrom
Er 2.585 -1.544 1.968
Er 0.000 0.000 0.000
Tm -0.064 -3.898 0.313
Tm 2.522 -5.442 2.280
Tm -4.759 -2.079 1.333
Tm -0.547 -0.533 3.589
Tm 2.038 -2.077 5.557
Tm -2.174 -3.624 3.300
Au -3.389 -0.916 3.733
Au -3.032 -4.264 0.637
Au 0.310 0.107 6.252
Au 0.667 -3.241 3.156
CELL_PARAMETERS angstrom
-2.712 -6.251 -1.342
5.170 -3.088 3.935
-5.179 5.183 4.296
! Formation energy in eV per atom: -0.477
! ΔE to the lowest computed polymorph in meV/atom: 187
! D(E_F) in states/eV per cell: 15.615
! DFT total energy in eV per atom: -4.57

# 6
! RbLiP2, optimized geometry, DFT GGA-PBE; values from VASP
&SYSTEM
  ibrav = 0, nat = 4, ntyp = 3
/
ATOMIC_SPECIES
P 30.97 P.upf
Rb 85.47 Rb.upf
Li 6.94 Li.upf
ATOMIC_POSITIONS angstrom
P 1.798 1.798 1.798
P 5.395 5.395 5.395
Rb 3.597 3.597 3.597
Li 0.000 0.000 0.000
CELL_PARAMETERS angstrom
0.000 3.597 3.597
3.597 0.000 3.597
3.597 3.597 0.000
! Formation energy in eV per atom: 0.478
! ΔE to the lowest computed polymorph in meV/atom: 659
! D(E_F) in states/eV per cell: 2.718
! DFT total energy in eV per atom: -2.95